Density functional theory data (PBE-GGA) for a relaxed structure of Ni3BI.

ΔE to the lowest computed polymorph	0	meV per atom
raw formation energy	0.300	eV/atom

Lattice parameters (Å, degrees): 4.0258 4.0258 4.0258 90.00 90.00 90.00
With the nearest neighbours (Å) after each atom.
Fractional positions:
I1 0.5000 0.5000 0.5000  12 Ni 2.85
Ni1 0.0000 0.5000 0.0000  2 B 2.01
Ni2 0.0000 0.0000 0.5000  2 B 2.01
Ni3 0.5000 0.0000 0.0000  2 B 2.01
B1 0.0000 0.0000 0.0000  6 Ni 2.01

=====

Density functional theory data (PBE-GGA) for a relaxed structure of PaBeS2O8.

raw formation energy	-1.533	eV/atom

Lattice parameters (Å, degrees): 5.4275 5.4275 5.9298 90.00 90.00 120.00
With the nearest neighbours (Å) after each atom.
Fractional positions:
Pa1 0.0000 0.0000 0.5000  6 O 2.25
Be1 0.0000 0.0000 0.0000  6 O 1.86
S1 0.3333 0.6667 0.7714  1 O 1.51
S2 0.6667 0.3333 0.2286  1 O 1.51
O1 0.1502 0.3003 0.7955  1 S 1.73, 1 Be 1.86
O2 0.1502 0.8498 0.7955  1 S 1.73, 1 Be 1.86
O3 0.6997 0.8498 0.7955  1 S 1.73, 1 Be 1.86
O4 0.3003 0.1502 0.2045  1 S 1.73, 1 Be 1.86
O5 0.6667 0.3333 0.4832  1 S 1.51
O6 0.3333 0.6667 0.5168  1 S 1.51
O7 0.8498 0.6997 0.2045  1 S 1.73, 1 Be 1.86
O8 0.8498 0.1502 0.2045  1 S 1.73, 1 Be 1.86

=====

Density functional theory data (PBE-GGA) for a relaxed structure of YTlGaAg.

ΔH_f (0 K)	-0.226	eV per atom

Lattice parameters (Å, degrees): 5.0288 5.0288 5.0288 60.00 60.00 60.00
With the nearest neighbours (Å) after each atom.
Fractional positions:
Y1 0.7500 0.7500 0.7500  4 Tl 3.08, 4 Ga 3.08
Tl1 0.0000 0.0000 0.0000  4 Ag 3.08, 4 Y 3.08
Ga1 0.5000 0.5000 0.5000  4 Y 3.08, 4 Ag 3.08
Ag1 0.2500 0.2500 0.2500  4 Ga 3.08, 4 Tl 3.08

=====

Number 1: total energy -4.814 eV/atom, mass density 8.0 Mg/m³, size of the total moment 0.00 Bohr magnetons per cell. Number 2: total energy -6.628 eV/atom, mass density 4.7 Mg/m³, size of the total moment 1.05 Bohr magnetons per cell. Number 3: total energy -3.903 eV/atom, mass density 8.7 Mg/m³, size of the total moment 0.00 Bohr magnetons per cell.